No. 1
First-principles (PBE-GGA) data for a geometry-optimized Ba2ReHg structure, as listed in Alexandria.

Energy relative to the elements: 0.65 eV per atom

Geometry as CIF:
```
data_Ba2ReHg
_space_group_name_H-M_alt 'C 1 m 1'
_space_group_IT_number 8
_cell_length_a 12.4703
_cell_length_b 3.3625
_cell_length_c 6.0192
_cell_angle_alpha 90.00
_cell_angle_beta 106.93
_cell_angle_gamma 90.00
loop_
_space_group_symop_operation_xyz
'x,y,z'
'x,-y,z'
'x+1/2,y+1/2,z'
'x+1/2,-y+1/2,z'
loop_
_atom_site_label
_atom_site_fract_x
_atom_site_fract_y
_atom_site_fract_z
Ba1 0.0000 0.0000 0.0000
Ba2 0.1842 0.0000 0.6289
Re1 0.4349 0.0000 0.4795
Hg1 0.2685 0.5000 0.1908
```


No. 2
First-principles (PBE-GGA) data for a geometry-optimized TbHo2ErSc2 structure, as listed in Alexandria.

Energy relative to the elements: 0.07 eV per atom

Geometry as CIF:
```
data_TbHo2ErSc2
_space_group_name_H-M_alt 'P n n m'
_space_group_IT_number 58
_cell_length_a 6.7994
_cell_length_b 9.3763
_cell_length_c 5.4329
_cell_angle_alpha 90.00
_cell_angle_beta 90.00
_cell_angle_gamma 90.00
loop_
_space_group_symop_operation_xyz
'x,y,z'
'-x,-y,-z'
'-x,-y,z'
'x,y,-z'
'x+1/2,-y+1/2,-z+1/2'
'-x+1/2,y+1/2,z+1/2'
'-x+1/2,y+1/2,-z+1/2'
'x+1/2,-y+1/2,z+1/2'
loop_
_atom_site_label
_atom_site_fract_x
_atom_site_fract_y
_atom_site_fract_z
Tb1 0.0000 0.0000 0.0000
Ho1 0.2488 0.3334 0.0000
Er1 0.0000 0.5000 0.5000
Sc1 0.2499 0.1668 0.5000
```


No. 3
First-principles (PBE-GGA) data for a geometry-optimized Pr2SbPb structure, as listed in Alexandria.

E_form (uncorrected): -0.710 eV/atom
Energy relative to the lowest polymorph listed for this composition: 0.1774 eV per atom

Geometry as CIF:
```
data_Pr2SbPb
_space_group_name_H-M_alt 'P 4/m m m'
_space_group_IT_number 123
_space_group_name_Hall '-P 4 2'
_cell_length_a 5.9902
_cell_length_b 5.9902
_cell_length_c 3.3733
_cell_angle_alpha 90.00
_cell_angle_beta 90.00
_cell_angle_gamma 90.00
loop_
_atom_site_label
_atom_site_fract_x
_atom_site_fract_y
_atom_site_fract_z
Pr1 0.0000 0.5000 0.0000
Sb1 0.0000 0.0000 0.5000
Pb1 0.5000 0.5000 0.5000
```


VASP energy: -3.499, -5.095, -5.057 (eV per atom)